Entry from Alexandria: a geometry-optimized Sm8InOs2 structure (PBE).

Unit cell a=8.992 b=13.371 c=5.548 alpha=90.00 beta=102.82 gamma=90.00
Space group Cm (No. 8)
Unique sites:
Sm: 0.000 0.000 0.000 (multiplicity 2)
Sm: 0.079 0.368 0.777 (multiplicity 4)
Sm: 0.191 0.132 0.631 (multiplicity 4)
Sm: 0.268 0.500 0.406 (multiplicity 2)
Sm: 0.385 0.251 0.203 (multiplicity 4)
In: 0.384 0.000 0.204 (multiplicity 2)
Os: 0.385 0.314 0.703 (multiplicity 4)

Total magnetization in Bohr magnetons per cell: 0.00
Raw total energy in eV/atom: -5.86



Entry from Alexandria: a geometry-optimized Sm2InOs structure (PBE).

Unit cell a=7.283 b=7.283 c=7.283 alpha=90.00 beta=90.00 gamma=90.00
Space group Fm-3m (No. 225)
Unique sites:
Sm: 0.250 0.250 0.250 (multiplicity 8)
In: 0.000 0.000 0.000 (multiplicity 4)
Os: 0.000 0.000 0.500 (multiplicity 4)

E above lowest polymorph in eV/atom: 0.1083
Total magnetization in Bohr magnetons per cell: 0.00
Raw total energy in eV/atom: -5.99



Entry from Alexandria: a geometry-optimized Sm6In2Os structure (PBE).

Unit cell a=5.264 b=7.370 c=15.061 alpha=90.00 beta=90.00 gamma=90.00
Space group Immm (No. 71)
Unique sites:
Sm: 0.000 0.223 0.000 (multiplicity 4)
Sm: 0.000 0.259 0.347 (multiplicity 8)
In: 0.000 0.500 0.167 (multiplicity 4)
Os: 0.000 0.500 0.500 (multiplicity 2)

E above lowest polymorph in eV/atom: 0.1727
Total magnetization in Bohr magnetons per cell: 0.00
Raw total energy in eV/atom: -5.11



Entry from Alexandria: a geometry-optimized TbSmInOs structure (PBE).

Unit cell a=7.223 b=7.223 c=7.223 alpha=90.00 beta=90.00 gamma=90.00
Space group F-43m (No. 216)
Unique sites:
Tb: 0.000 0.000 0.000 (multiplicity 4)
Sm: 0.000 0.000 0.500 (multiplicity 4)
In: 0.250 0.250 0.250 (multiplicity 4)
Os: 0.250 0.250 0.750 (multiplicity 4)

Total magnetization in Bohr magnetons per cell: 0.00
Raw total energy in eV/atom: -6.01



Entry from Alexandria: a geometry-optimized SmTmInOs structure (PBE).

Unit cell a=7.160 b=7.160 c=7.160 alpha=90.00 beta=90.00 gamma=90.00
Space group F-43m (No. 216)
Unique sites:
Sm: 0.000 0.000 0.000 (multiplicity 4)
Tm: 0.000 0.000 0.500 (multiplicity 4)
In: 0.250 0.250 0.250 (multiplicity 4)
Os: 0.250 0.250 0.750 (multiplicity 4)

Total magnetization in Bohr magnetons per cell: 0.00
Raw total energy in eV/atom: -5.99



Entry from Alexandria: a geometry-optimized In3SnOs structure (PBE).

Unit cell a=5.199 b=5.199 c=5.199 alpha=90.00 beta=90.00 gamma=90.00
Space group Pm-3m (No. 221)
Unique sites:
In: 0.000 0.000 0.500 (multiplicity 3)
Sn: 0.500 0.500 0.500 (multiplicity 1)
Os: 0.000 0.000 0.000 (multiplicity 1)

E above lowest polymorph in eV/atom: 0.0000
Total magnetization in Bohr magnetons per cell: 0.49
Raw total energy in eV/atom: -4.28



- Look up the raw total energy of the second one.
  -5.99 eV/atom